Below is a crystal of TiCrHgMo2 relaxed with PBEsol, with properties calculated at the meta-GGA SCAN level.

Lattice parameters (Å, degrees): 4.9909 4.9909 4.7819 90.00 90.00 90.00
Last column: nearest neighbours and their distance in Å.
Space group P4/mmm (No. 123)
One atom of each set of equivalent atoms:
Ti  0.0000  0.0000  0.0000 [1 per cell]  2 Hg 2.39
Cr  0.5000  0.5000  0.0000 [1 per cell]  8 Mo 3.46, 4 Ti 3.53
Hg  0.0000  0.0000  0.5000 [1 per cell]  2 Ti 2.39, 4 Mo 2.50
Mo  0.0000  0.5000  0.5000 [2 per cell]  2 Hg 2.50

Summary:
Formation energy: 1.968 eV/atom

---

Below is a crystal of Cr2HgSeN relaxed with PBEsol, with properties calculated at the meta-GGA SCAN level.

Lattice parameters (Å, degrees): 4.7218 4.7218 3.8514 90.00 90.00 90.00
Last column: nearest neighbours and their distance in Å.
Space group P4/mmm (No. 123)
One atom of each set of equivalent atoms:
Cr  0.0000  0.5000  0.0000 [2 per cell]  2 Se 2.36
Hg  0.0000  0.0000  0.5000 [1 per cell]  8 Cr 3.05, 4 N 3.34
Se  0.5000  0.5000  0.0000 [1 per cell]  2 N 1.93
N  0.5000  0.5000  0.5000 [1 per cell]  2 Se 1.93

Summary:
Uncorrected formation energy: 848 meV/atom

---

Below is a crystal of SrCr2HgN relaxed with PBEsol, with properties calculated at the meta-GGA SCAN level.

Lattice parameters (Å, degrees): 5.1652 5.1652 4.4453 90.00 90.00 90.00
Last column: nearest neighbours and their distance in Å.
Space group P4/mmm (No. 123)
One atom of each set of equivalent atoms:
Sr  0.0000  0.0000  0.0000 [1 per cell]  8 Cr 3.41, 4 N 3.65
Cr  0.0000  0.5000  0.5000 [2 per cell]  2 Hg 2.58
Hg  0.5000  0.5000  0.5000 [1 per cell]  2 N 2.22
N  0.5000  0.5000  0.0000 [1 per cell]  2 Hg 2.22

Summary:
Uncorrected formation energy: 1114 meV/atom

---

Below is a crystal of CrNi2Hg relaxed with PBEsol, with properties calculated at the meta-GGA SCAN level.

Lattice parameters (Å, degrees): 4.0263 2.7427 9.7957 90.00 90.00 90.00
Last column: nearest neighbours and their distance in Å.
Space group Amm2 (No. 38)
One atom of each set of equivalent atoms:
Cr  0.0000  0.0000  0.0000 [2 per cell]  7 Ni 2.51-2.80, 2 Cr 2.74
Ni  0.0000  0.0000  0.7143 [2 per cell]  2 Ni 2.39, 2 Cr 2.51, 4 Hg 2.66
Ni  0.5000  0.0000  0.5822 [2 per cell]  2 Ni 2.39, 1 Hg 2.53, 4 Cr 2.57
Hg  0.5000  0.0000  0.3244 [2 per cell]  7 Ni 2.53-2.74, 2 Hg 2.74

Summary:
Formation energy: 0.284 eV/atom

---

Below is a crystal of CrNiHg relaxed with PBEsol, with properties calculated at the meta-GGA SCAN level.

Lattice parameters (Å, degrees): 3.0868 3.0868 9.0815 90.00 90.00 90.00
Last column: nearest neighbours and their distance in Å.
Space group I4mm (No. 107)
One atom of each set of equivalent atoms:
Cr  0.0000  0.0000  0.0000 [2 per cell]  4 Ni 2.45
Ni  0.0000  0.0000  0.6230 [2 per cell]  4 Cr 2.45
Hg  0.0000  0.0000  0.3066 [2 per cell]  5 Ni 2.75-2.87, 5 Cr 2.78-2.80

Summary:
Formation energy: 0.196 eV/atom

---

Below is a crystal of CrHgO4 relaxed with PBEsol, with properties calculated at the meta-GGA SCAN level.

Lattice parameters (Å, degrees): 5.7154 8.8621 7.1148 90.00 90.00 90.00
Last column: nearest neighbours and their distance in Å.
Space group Cmcm (No. 63)
One atom of each set of equivalent atoms:
Cr  0.0000  0.1405  0.2500 [4 per cell]  4 O 1.62-1.69
Hg  0.0000  0.5000  0.0000 [4 per cell]  6 O 2.30-2.33
O  0.0000  0.2448  0.0626 [8 per cell]  1 Cr 1.62
O  0.2419  0.0316  0.2500 [8 per cell]  1 Cr 1.69

Summary:
Uncorrected formation energy: -1311 meV/atom

---

Below is a crystal of Cr2HgO7 relaxed with PBEsol, with properties calculated at the meta-GGA SCAN level.

Lattice parameters (Å, degrees): 7.2169 7.2169 9.5722 90.00 90.00 120.00
Last column: nearest neighbours and their distance in Å.
Space group P3_2 (No. 145)
One atom of each set of equivalent atoms:
Cr  0.0125  0.2576  0.0000 [3 per cell]  4 O 1.60-1.75
Cr  0.4097  0.1020  0.6579 [3 per cell]  4 O 1.59-1.75
Hg  0.0616  0.4253  0.6610 [3 per cell]  2 O 2.04
O  0.0196  0.3781  0.1603 [3 per cell]  2 Cr 1.75
O  0.0775  0.4421  0.8738 [3 per cell]  1 Cr 1.68
O  0.0821  0.4454  0.4483 [3 per cell]  1 Cr 1.68
O  0.1841  0.1796  0.0026 [3 per cell]  1 Cr 1.60
O  0.2677  0.2112  0.6832 [3 per cell]  1 Cr 1.59
O  0.2707  0.2178  0.3086 [3 per cell]  1 Cr 1.60
O  0.6316  0.3447  0.9967 [3 per cell]  1 Cr 1.60

Summary:
Uncorrected formation energy: -1462 meV/atom

---

Below is a crystal of CrHgO4 relaxed with PBEsol, with properties calculated at the meta-GGA SCAN level.

Lattice parameters (Å, degrees): 5.4857 8.5166 8.8059 90.00 124.11 90.00
Last column: nearest neighbours and their distance in Å.
Space group P2_1/c (No. 14)
One atom of each set of equivalent atoms:
Cr  0.1122  0.1898  0.3402 [4 per cell]  4 O 1.61-1.69
Hg  0.4084  0.5377  0.6632 [4 per cell]  2 O 2.13
O  0.0923  0.1116  0.1581 [4 per cell]  1 Cr 1.68
O  0.2230  0.7221  0.2175 [4 per cell]  1 Cr 1.63
O  0.2742  0.0707  0.5118 [4 per cell]  1 Cr 1.61
O  0.3006  0.1395  0.8965 [4 per cell]  1 Cr 1.69

Summary:
Uncorrected formation energy: -1315 meV/atom